Entry 1:
This record from the Alexandria database describes a relaxed LaCoSe2Br crystal. The functional is PBE.

Calculated values
Volume ... 111.35 Å³/cell
Crystal system ... tetragonal
Formation energy from raw total energies ... -0.86 eV per atom
M_tot ... 0.3 μB per formula unit
Space-group type ... No. 123

Cell and atoms, written as POSCAR:
```
LaCoSe2Br
1.0
-1.7280 -4.4919 -0.5666
2.5668 -0.4724 -4.0833
3.6491 -1.7182 2.4926
La Co Br Se
1 1 1 2
Cartesian
2.2439 -3.3413 -1.0786
0.0000 0.0000 0.0000
1.8245 -0.8591 1.2463
1.2834 -0.2362 -2.0416
-0.8640 -2.2460 -0.2833
```

=====

Entry 2:
This record from the Alexandria database describes a relaxed ErZr3Pd12 crystal. The functional is PBE.

Calculated values
Energy of formation from the pure elements ... -851 meV per atom
Volume ... 265.76 Å³/cell
Crystal system ... tetragonal
M_tot ... 0.0 μB per formula unit
Space-group type ... No. 123

Cell and atoms, written as POSCAR:
```
ErZr3Pd12
1.0
-3.9306 0.2924 0.9206
-0.4094 -3.9983 -0.4780
3.5062 -2.2335 15.6804
Zr Pd Er
3 12 1
Cartesian
0.8744 -0.5570 3.9105
2.6318 -1.6765 11.7698
1.7531 -1.1168 7.8402
0.2508 -2.2893 1.7981
2.8460 -3.9425 13.4043
-2.1700 -1.8529 0.2213
-1.2812 -2.4191 4.1963
1.0854 -1.7972 14.1036
1.9811 -3.3916 9.5364
0.4473 -3.5203 11.9267
-1.5098 -0.1439 2.4974
-0.4169 -2.9697 8.0615
0.2205 -1.2462 10.2357
1.1157 -2.8403 5.6660
-0.6449 -0.6949 6.3652
0.0000 0.0000 0.0000
```

=====

Entry 3:
This record from the Alexandria database describes a relaxed MoAsSN2 crystal. The functional is PBE.

Calculated values
Energy above the lowest structure with this stoichiometry ... 0.00 eV/f.u.
Volume ... 76.69 Å³/cell
Crystal system ... tetragonal
Formation energy from raw total energies ... 0.64 eV per atom
M_tot ... 0.4 μB per formula unit
Space-group type ... No. 123

Cell and atoms, written as POSCAR:
```
MoAsSN2
1.0
-3.0266 -1.4548 1.9790
2.0588 -3.2154 0.7849
1.7347 2.1428 4.2281
S N As Mo
1 2 1 1
Cartesian
0.8673 1.0714 2.1141
-1.5133 -0.7274 0.9895
1.0294 -1.6077 0.3925
0.3834 -1.2637 3.4960
0.0000 0.0000 0.0000
```

=====

Q: What is the formula in the second record?
A: ErZr3Pd12

=====

Q: M_tot of number 2 (ErZr3Pd12)?
A: 0.0 μB per formula unit

=====

Q: Which value of volume does entry 2 give?
A: 265.76 Å³/cell

=====

Q: What is the M_tot in the first record?
A: 0.3 μB per formula unit